(1)
LaNd2Sm4Ho: optimized geometry, GGA-PBE.

a = 6.2841 Å, b = 3.6556 Å, c = 12.1236 Å
α = 90.00°, β = 100.28°, γ = 90.00°
Fractional positions:
La  0.0000  0.0000  0.0000
Nd  0.0000  0.5000  0.5000
Nd  0.5000  0.0000  0.5000
Sm  0.2503  0.5000  0.2499
Sm  0.2512  0.0000  0.7517
Sm  0.7488  0.0000  0.2483
Sm  0.7497  0.5000  0.7501
Ho  0.5000  0.5000  0.0000

Results
Crystal system ... monoclinic
Calculated formation energy ... 1.7 kJ/mol of atoms

(2)
Dy2YSc: optimized geometry, GGA-PBE.

a = 11.3452 Å, b = 11.3452 Å, c = 11.3452 Å
α = 17.84°, β = 17.84°, γ = 17.84°
Fractional positions:
Dy  0.0000  0.0000  0.0000
Dy  0.1727  0.1727  0.1727
Y  0.7527  0.7527  0.7527
Sc  0.5866  0.5866  0.5866

Results
Crystal system ... trigonal
Calculated formation energy ... 3.7 kJ/mol of atoms
E above lowest polymorph ... 0.005 eV/atom

(3)
Pm15YIn4: optimized geometry, GGA-PBE.

a = 4.9629 Å, b = 4.9629 Å, c = 25.2900 Å
α = 90.00°, β = 90.00°, γ = 90.00°
Fractional positions:
Pm  0.0000  0.0000  0.0000
Pm  0.0000  0.0000  0.2047
Pm  0.0000  0.0000  0.4015
Pm  0.0000  0.0000  0.5985
Pm  0.0000  0.0000  0.7953
Pm  0.0000  0.5000  0.1055
Pm  0.0000  0.5000  0.3031
Pm  0.0000  0.5000  0.5000
Pm  0.0000  0.5000  0.6969
Pm  0.0000  0.5000  0.8945
Pm  0.5000  0.0000  0.1055
Pm  0.5000  0.0000  0.3031
Pm  0.5000  0.0000  0.5000
Pm  0.5000  0.0000  0.6969
Pm  0.5000  0.0000  0.8945
Y  0.5000  0.5000  0.0000
In  0.5000  0.5000  0.2058
In  0.5000  0.5000  0.4018
In  0.5000  0.5000  0.5982
In  0.5000  0.5000  0.7942

Results
Crystal system ... tetragonal
Calculated formation energy ... -20.3 kJ/mol of atoms

(4)
Al2Ga2Pb: optimized geometry, GGA-PBE.

a = 8.1175 Å, b = 8.1175 Å, c = 3.1309 Å
α = 90.00°, β = 90.00°, γ = 90.00°
Fractional positions:
Al  0.1264  0.3736  0.0000
Al  0.3736  0.8736  0.0000
Al  0.6264  0.1264  0.0000
Al  0.8736  0.6264  0.0000
Ga  0.1649  0.6649  0.5000
Ga  0.3351  0.1649  0.5000
Ga  0.6649  0.8351  0.5000
Ga  0.8351  0.3351  0.5000
Pb  0.0000  0.0000  0.0000
Pb  0.5000  0.5000  0.0000

Results
Crystal system ... tetragonal
Calculated formation energy ... 10.7 kJ/mol of atoms
E above lowest polymorph ... 0.056 eV/atom

(5)
Ge2MoOs2: optimized geometry, GGA-PBE.

a = 5.7119 Å, b = 5.7119 Å, c = 5.7119 Å
α = 138.14°, β = 138.14°, γ = 60.68°
Fractional positions:
Ge  0.1177  0.1177  0.0000
Ge  0.8823  0.8823  0.0000
Mo  0.5000  0.5000  0.0000
Os  0.2500  0.7500  0.5000
Os  0.7500  0.2500  0.5000

Results
Crystal system ... tetragonal
Calculated formation energy ... 59.1 kJ/mol of atoms
E above lowest polymorph ... 0.323 eV/atom

(6)
NdHf2Zr: optimized geometry, GGA-PBE.

a = 3.7900 Å, b = 3.7900 Å, c = 7.0926 Å
α = 90.00°, β = 90.00°, γ = 90.00°
Fractional positions:
Nd  0.0000  0.0000  0.0000
Hf  0.5000  0.5000  0.2928
Hf  0.5000  0.5000  0.7072
Zr  0.0000  0.0000  0.5000

Results
Crystal system ... tetragonal
Calculated formation energy ... 17.1 kJ/mol of atoms
E above lowest polymorph ... 0.011 eV/atom

(7)
BaFe2AuN: optimized geometry, GGA-PBE.

a = 4.7432 Å, b = 4.7432 Å, c = 6.4365 Å
α = 90.00°, β = 90.00°, γ = 90.00°
Fractional positions:
Ba  0.0000  0.0000  0.0000
Fe  0.0000  0.5000  0.5000
Fe  0.5000  0.0000  0.5000
Au  0.0000  0.0000  0.5000
N  0.5000  0.5000  0.0000

Results
Crystal system ... tetragonal
Formation energy (no corrections) ... 1.49 eV per atom

(8)
YTmGa3: optimized geometry, GGA-PBE.

a = 12.8915 Å, b = 12.8915 Å, c = 4.1510 Å
α = 90.00°, β = 90.00°, γ = 161.45°
Fractional positions:
Y  0.0731  0.9269  0.7500
Y  0.9269  0.0731  0.2500
Tm  0.2045  0.7955  0.2500
Tm  0.7955  0.2045  0.7500
Ga  0.3227  0.6773  0.2500
Ga  0.3797  0.6203  0.7500
Ga  0.4757  0.5243  0.7500
Ga  0.5243  0.4757  0.2500
Ga  0.6203  0.3797  0.2500
Ga  0.6773  0.3227  0.7500

Results
Crystal system ... orthorhombic
Calculated formation energy ... -62.1 kJ/mol of atoms

(9)
InGaHgBr2: optimized geometry, GGA-PBE.

a = 9.0074 Å, b = 4.2247 Å, c = 12.1882 Å
α = 90.00°, β = 108.32°, γ = 90.00°
Fractional positions:
In  0.2366  0.2500  0.0769
In  0.7634  0.7500  0.9231
Ga  0.2759  0.7500  0.4152
Ga  0.7241  0.2500  0.5848
Hg  0.3527  0.7500  0.8955
Hg  0.6473  0.2500  0.1045
Br  0.0545  0.7500  0.1602
Br  0.4482  0.2500  0.3517
Br  0.5518  0.7500  0.6483
Br  0.9455  0.2500  0.8398

Results
Crystal system ... monoclinic
Formation energy (no corrections) ... -0.43 eV per atom
E above lowest polymorph ... 0.000 eV/atom

(10)
MgNiIr: optimized geometry, GGA-PBE.

a = 4.7317 Å, b = 4.7317 Å, c = 4.7317 Å
α = 146.37°, β = 132.90°, γ = 59.12°
Fractional positions:
Mg  0.0000  0.0000  0.0000
Ni  0.6783  0.6783  0.0000
Ir  0.3223  0.3223  0.0000

Results
Crystal system ... orthorhombic
Calculated formation energy ... -6.0 kJ/mol of atoms
E above lowest polymorph ... 0.209 eV/atom

(11)
CaAcZn2Ga2: optimized geometry, GGA-PBE.

a = 4.5163 Å, b = 4.5163 Å, c = 8.0473 Å
α = 90.00°, β = 90.00°, γ = 120.00°
Fractional positions:
Ca  0.0000  0.0000  0.0000
Ac  0.0000  0.0000  0.5000
Zn  0.3333  0.6667  0.2203
Zn  0.6667  0.3333  0.7797
Ga  0.3333  0.6667  0.7688
Ga  0.6667  0.3333  0.2312

Results
Crystal system ... trigonal
Calculated formation energy ... -44.2 kJ/mol of atoms

(12)
CsLuTl2: optimized geometry, GGA-PBE.

a = 11.3816 Å, b = 11.3816 Å, c = 11.3816 Å
α = 19.20°, β = 19.20°, γ = 19.20°
Fractional positions:
Cs  0.0000  0.0000  0.0000
Lu  0.5000  0.5000  0.5000
Tl  0.2376  0.2376  0.2376
Tl  0.7624  0.7624  0.7624

Results
Crystal system ... trigonal
Calculated formation energy ... 2.5 kJ/mol of atoms
E above lowest polymorph ... 0.168 eV/atom

Please write out number 9 again, unchanged.
InGaHgBr2: optimized geometry, GGA-PBE.

a = 9.0074 Å, b = 4.2247 Å, c = 12.1882 Å
α = 90.00°, β = 108.32°, γ = 90.00°
Fractional positions:
In  0.2366  0.2500  0.0769
In  0.7634  0.7500  0.9231
Ga  0.2759  0.7500  0.4152
Ga  0.7241  0.2500  0.5848
Hg  0.3527  0.7500  0.8955
Hg  0.6473  0.2500  0.1045
Br  0.0545  0.7500  0.1602
Br  0.4482  0.2500  0.3517
Br  0.5518  0.7500  0.6483
Br  0.9455  0.2500  0.8398

Results
Crystal system ... monoclinic
Formation energy (no corrections) ... -0.43 eV per atom
E above lowest polymorph ... 0.000 eV/atom